# 1
A plane-wave DFT calculation with GGA-PBE was carried out for a relaxed ThSnOs crystal.

a b c (Å): 3.5906 4.7270 4.7270
angles (deg): 120.00 90.00 90.00
Fractional positions:
Sn (0.1667, 0.0000, 0.0000)
Th (0.6667, 0.6667, 0.3333)
Os (0.1666, 0.3333, 0.6667)

Values from the calculation:
Symmetry   P-6m2 (187)
Fermi-level density of states   0.9733 states/eV/atom



# 2
A plane-wave DFT calculation with GGA-PBE was carried out for a relaxed ZrHgPd2 crystal.

a b c (Å): 4.8975 4.9624 5.9035
angles (deg): 90.00 90.00 90.00
Fractional positions:
Hg (0.5000, 0.6817, 0.0000)
Hg (0.0000, 0.3183, 0.5000)
Zr (0.0000, 0.3222, 0.0000)
Zr (0.5000, 0.6778, 0.5000)
Pd (0.5000, 0.1762, 0.2477)
Pd (0.0000, 0.8238, 0.2523)
Pd (0.5000, 0.1762, 0.7523)
Pd (0.0000, 0.8238, 0.7477)

Values from the calculation:
Symmetry   Pmmn (59)
Fermi-level density of states   0.5256 states/eV/atom



no.,energy of formation from the pure elements (eV per atom)
1,-0.2082
2,-0.5334